Compound: K3Tm2PaSe6
Source: Alexandria via LeMat-Bulk
Functional: PBE-GGA
Structure: optimized geometry

Computed properties:
- space-group type = C2/m, No. 12
- E_form (uncorrected) (eV/atom) = -1.5772
- density of states at the Fermi level (states/eV/f.u.) = 7.2
- M_tot (μB per cell) = 1.815
- final energy (eV per atom) = -5.130

Geometry as POSCAR:
```
K3Tm2PaSe6
1.0
3.616 -6.263 0.000
3.616 6.263 0.000
-2.411 0.000 7.711
K Tm Pa Se
3 2 1 6
Direct
0.000 0.000 0.000
0.334 0.666 0.000
0.666 0.334 0.000
0.167 0.833 0.500
0.833 0.167 0.500
0.500 0.500 0.500
0.094 0.431 0.294
0.232 0.232 0.706
0.431 0.094 0.294
0.569 0.906 0.706
0.768 0.768 0.294
0.906 0.569 0.706
```